Density functional theory data (PBE) for an optimized crystal structure of LaCrTc2.

a = 4.667 Å, b = 4.667 Å, c = 3.289 Å
α = 90.00°, β = 90.00°, γ = 90.00°
Fractional positions:
Cr (0.500, 0.000, 0.500)
Tc (0.000, 0.000, 0.000)
Tc (0.500, 0.500, 0.000)
La (0.000, 0.500, 0.500)

Output
E above lowest polymorph   0.320 eV per atom
ΔE_f   0.618 eV per atom
Spin magnetization   1.0 μB per cell